No. 1
Density functional theory data (PBE) for a geometry-optimized DyYCdGe structure.

Unit cell a=5.148 b=5.148 c=5.148 alpha=60.00 beta=60.00 gamma=60.00
Fractional positions:
Dy: 0.000 0.000 0.000
Y: 0.500 0.500 0.500
Cd: 0.750 0.750 0.750
Ge: 0.250 0.250 0.250

Computed properties:
Magnetization = 0.000 μB per atom
E_tot = -4.631 eV/atom
Energy relative to the elements = -482 meV per atom


No. 2
Density functional theory data (PBE) for a geometry-optimized DyCdH structure.

Unit cell a=6.375 b=6.375 c=5.497 alpha=115.34 beta=115.34 gamma=33.59
Fractional positions:
Dy: 0.109 0.109 0.365
Dy: 0.891 0.891 0.635
Cd: 0.360 0.360 0.113
Cd: 0.640 0.640 0.887
H: 0.303 0.303 0.613
H: 0.697 0.697 0.387

Computed properties:
Magnetization = 0.000 μB per atom
E_tot = -3.352 eV/atom


No. 3
Density functional theory data (PBE) for a geometry-optimized DyCdH structure.

Unit cell a=6.195 b=6.195 c=6.195 alpha=150.29 beta=150.29 gamma=42.51
Fractional positions:
Dy: 0.000 0.000 0.000
Cd: 0.282 0.282 0.000
H: 0.537 0.537 0.000

Computed properties:
Magnetization = 0.063 μB per atom
E_tot = -3.059 eV/atom